1.
Here is CoOsAu2 after structural relaxation from Alexandria via LeMat-Bulk. Energies are from PBE-GGA.

## Properties
Its calculated formation energy is 729 meV per atom. The energy above the most stable polymorph in this dataset is 0.458 eV/atom. As for the space-group type: Fm-3m.

a = 4.450 Å, b = 4.450 Å, c = 4.450 Å
α = 60.00°, β = 60.00°, γ = 60.00°
Atoms (fractional coordinates):
Co 0.000 0.000 0.000
Os 0.500 0.500 0.500
Au 0.250 0.250 0.250
Au 0.750 0.750 0.750

=====

2.
Here is Nb2POs after structural relaxation from Alexandria via LeMat-Bulk. Energies are from PBE-GGA.

## Properties
Its calculated formation energy is 582 meV per atom. As for the space-group type: I-42d.

a = 7.445 Å, b = 7.445 Å, c = 7.445 Å
α = 137.96°, β = 137.96°, γ = 60.96°
Atoms (fractional coordinates):
Nb 0.115 0.625 0.990
Nb 0.375 0.365 0.490
Nb 0.635 0.125 0.010
Nb 0.875 0.885 0.510
P 0.000 0.000 0.000
P 0.750 0.250 0.500
Os 0.250 0.750 0.500
Os 0.500 0.500 0.000

=====

3.
Here is YHo2Se4 after structural relaxation from Alexandria via LeMat-Bulk. Energies are from PBE-GGA.

## Properties
As for the space-group type: Cmcm. The value obtained for the raw total energy is -6.0529 eV per atom.

a = 6.983 Å, b = 6.983 Å, c = 13.763 Å
α = 90.00°, β = 90.00°, γ = 147.07°
Atoms (fractional coordinates):
Y 0.127 0.873 0.750
Y 0.873 0.127 0.250
Ho 0.370 0.630 0.570
Ho 0.370 0.630 0.930
Ho 0.630 0.370 0.070
Ho 0.630 0.370 0.430
Se 0.000 0.000 0.000
Se 0.000 0.000 0.500
Se 0.277 0.723 0.122
Se 0.277 0.723 0.378
Se 0.470 0.530 0.750
Se 0.530 0.470 0.250
Se 0.723 0.277 0.622
Se 0.723 0.277 0.878

=====

4.
Here is TbNdMgCu after structural relaxation from Alexandria via LeMat-Bulk. Energies are from PBE-GGA.

## Properties
Its calculated formation energy is -47 meV per atom. As for the space-group type: F-43m.

a = 5.224 Å, b = 5.224 Å, c = 5.224 Å
α = 60.00°, β = 60.00°, γ = 60.00°
Atoms (fractional coordinates):
Tb 0.000 0.000 0.000
Nd 0.500 0.500 0.500
Mg 0.750 0.750 0.750
Cu 0.250 0.250 0.250

=====

5.
Here is SrBe2Re after structural relaxation from Alexandria via LeMat-Bulk. Energies are from PBE-GGA.

## Properties
Its calculated formation energy is 337 meV per atom. The energy above the most stable polymorph in this dataset is 0.016 eV/atom. As for the space-group type: Cm.

a = 3.991 Å, b = 3.991 Å, c = 5.954 Å
α = 108.78°, β = 108.78°, γ = 56.19°
Atoms (fractional coordinates):
Sr 0.000 0.000 0.000
Be 0.187 0.187 0.557
Be 0.533 0.533 0.544
Re 0.823 0.823 0.432

=====

6.
Here is Ba2TmCd3Pb4 after structural relaxation from Alexandria via LeMat-Bulk. Energies are from PBE-GGA.

## Properties
Its calculated formation energy is -370 meV per atom. As for the space-group type: P-4m2.

a = 5.034 Å, b = 5.034 Å, c = 12.966 Å
α = 90.00°, β = 90.00°, γ = 90.00°
Atoms (fractional coordinates):
Ba 0.000 0.500 0.241
Ba 0.500 0.000 0.759
Tm 0.000 0.000 0.500
Cd 0.000 0.500 0.864
Cd 0.500 0.000 0.136
Cd 0.500 0.500 0.500
Pb 0.000 0.000 0.000
Pb 0.000 0.500 0.638
Pb 0.500 0.000 0.362
Pb 0.500 0.500 0.000